Sr2Ca4Pd (PBE, relaxed); VASP energy = -17.36 eV per cell
1.0
-2.818 2.818 9.818
2.818 -2.818 9.818
2.818 2.818 -9.818
Sr Ca Pd
2 4 1
Cartesian
0.000 0.000 3.167
0.000 0.000 16.470
2.818 0.000 0.000
0.000 0.000 7.018
0.000 2.818 0.000
0.000 0.000 12.618
0.000 0.000 9.818